Version P
Below is a relaxed structure of K2NiW, with properties calculated at the PBE level.

a b c (Å): 10.5319 10.5319 10.5319
angles (deg): 164.65 157.16 27.64
Last column: nearest neighbours and their distance in Å.
Atoms (fractional coordinates):
K 0.1429 0.1429 0.0000  2 K 2.81
K 0.8571 0.8571 0.0000  2 K 2.81
Ni 0.0000 0.5000 0.5000  4 W 2.52, 2 Ni 2.81
W 0.5000 0.0000 0.5000  4 Ni 2.52, 2 W 2.81

Summary:
M_tot, Bohr magnetons per cell: 0.45

***

Version Q
Below is a relaxed structure of K2NiW, with properties calculated at the PBE level.

a b c (Å): 2.7584 5.9130 5.0901
angles (deg): 90.00 94.45 90.00
Last column: nearest neighbours and their distance in Å.
Atoms (fractional coordinates):
K 0.2179 0.0000 0.2572  5 K 2.76-2.83
K 0.7821 0.0000 0.7428  5 K 2.76-2.83
Ni 0.0000 0.5000 0.5000  2 Ni 2.76, 4 W 2.80-2.99
W 0.5000 0.5000 0.0000  2 W 2.76, 4 Ni 2.80-2.99

Summary:
M_tot, Bohr magnetons per cell: 0.00

***

Compare the structures above. Which one is the most stable? version P is.